The following is a DFT calculation (PBE) of a relaxed structure of Cr2Ni2Hg.

POSCAR file:
```
Cr2Ni2Hg
1.0
-3.2587 5.1225 3.4933
-5.0537 -4.4808 1.8561
1.4744 -0.6801 2.3726
Ni Hg Cr
4 2 4
direct
0.8712 0.6288 0.0000 Ni
0.1288 0.3712 0.0000 Ni
0.6288 0.1288 0.0000 Ni
0.3712 0.8712 0.0000 Ni
0.5000 0.5000 0.0000 Hg
0.0000 0.0000 0.0000 Hg
0.8389 0.3389 0.5000 Cr
0.1611 0.6611 0.5000 Cr
0.3389 0.1611 0.5000 Cr
0.6611 0.8389 0.5000 Cr
```

Calculated values
Its energy relative to the lowest polymorph listed for this composition is 0.0000 eV per atom. As for the formation energy: 0.35 eV/atom.

=====

The following is a DFT calculation (PBE) of a relaxed structure of Nd2UAgTe5.

POSCAR file:
```
Nd2UAgTe5
1.0
4.3789 0.0000 0.0000
-2.1895 9.4612 0.0000
0.0000 0.0000 13.4566
Te Nd Ag U
10 4 2 2
direct
0.5020 0.0041 0.2774 Te
0.6401 0.2801 0.5004 Te
0.9569 0.9138 0.5772 Te
0.6933 0.3866 0.8406 Te
0.7128 0.4256 0.1704 Te
0.4980 0.9959 0.7774 Te
0.3599 0.7199 0.0004 Te
0.3067 0.6134 0.3406 Te
0.0431 0.0862 0.0772 Te
0.2872 0.5744 0.6704 Te
0.8732 0.7464 0.8047 Nd
0.1123 0.2246 0.6865 Nd
0.8877 0.7754 0.1865 Nd
0.1268 0.2536 0.3047 Nd
0.4342 0.8684 0.4581 Ag
0.5658 0.1316 0.9581 Ag
0.8060 0.6121 0.5089 U
0.1940 0.3879 0.0089 U
```

Calculated values
The final energy is -5.318 eV per atom.

=====

The following is a DFT calculation (PBE) of a relaxed structure of BTe3Au.

POSCAR file:
```
BTe3Au
1.0
-0.2543 0.8028 -4.7859
3.3696 -3.4196 -0.7527
-3.4922 -3.3580 -0.3778
Au B Te
1 1 3
direct
0.5000 0.5000 0.5000 Au
0.0000 0.0000 0.0000 B
0.5000 0.0000 0.0000 Te
0.0000 0.0000 0.5000 Te
0.0000 0.5000 0.0000 Te
```

Calculated values
Its energy relative to the lowest polymorph listed for this composition is 0.0000 eV per atom.

=====

The following is a DFT calculation (PBE) of a relaxed structure of MnTcAs2.

POSCAR file:
```
MnTcAs2
1.0
7.9043 0.0394 0.0234
7.3184 2.9867 0.0234
7.3184 1.4548 2.6085
As Mn Tc
2 1 1
direct
0.4993 0.4993 0.4993 As
0.0007 0.0007 0.0007 As
0.2500 0.2500 0.2500 Mn
0.7500 0.7500 0.7500 Tc
```

Calculated values
Its energy relative to the lowest polymorph listed for this composition is 0.1800 eV per atom. As for the formation energy: 0.07 eV/atom.

=====

The following is a DFT calculation (PBE) of a relaxed structure of Zr2InMo.

POSCAR file:
```
Zr2InMo
1.0
-3.9301 2.8301 1.9668
-4.8746 1.7600 -0.6810
-2.3246 -4.2746 2.5569
Mo Zr In
1 2 1
direct
0.2500 0.2500 0.2500 Mo
0.4905 0.4905 0.4910 Zr
0.0095 0.0095 0.0090 Zr
0.7500 0.7500 0.7500 In
```

Calculated values
As for the formation energy: 0.11 eV/atom.

=====

The following is a DFT calculation (PBE) of a relaxed structure of KSrZnS2.

POSCAR file:
```
KSrZnS2
1.0
5.5943 0.0000 0.0000
0.0000 6.9877 0.9394
0.0000 -1.1869 8.4624
S Sr K Zn
4 2 2 2
direct
0.7176 0.2303 0.5010 S
0.7176 0.7697 0.9990 S
0.2824 0.7697 0.4990 S
0.2824 0.2303 0.0010 S
0.4994 0.0000 0.2500 Sr
0.5006 0.0000 0.7500 Sr
0.9954 0.5000 0.2500 K
0.0046 0.5000 0.7500 K
0.0000 0.0000 0.0000 Zn
0.0000 0.0000 0.5000 Zn
```

Calculated values
The final energy is -3.445 eV per atom.

=====

The following is a DFT calculation (PBE) of a relaxed structure of K3LiP2O6.

POSCAR file:
```
K3LiP2O6
1.0
5.7766 0.0000 0.0000
-2.8883 5.0027 0.0000
0.0000 0.0000 6.9439
O P K Li
6 2 3 1
direct
0.1843 0.8157 0.2965 O
0.6314 0.8157 0.2965 O
0.1843 0.3686 0.2965 O
0.3686 0.1843 0.7035 O
0.8157 0.1843 0.7035 O
0.8157 0.6314 0.7035 O
0.6667 0.3333 0.7647 P
0.3333 0.6667 0.2353 P
0.0000 0.0000 0.0000 K
0.6667 0.3333 0.3147 K
0.3333 0.6667 0.6853 K
0.0000 0.0000 0.5000 Li
```

Calculated values
The final energy is -5.757 eV per atom.

=====

The following is a DFT calculation (PBE) of a relaxed structure of Ho3Pd.

POSCAR file:
```
Ho3Pd
1.0
3.6642 0.0000 0.0000
0.0000 5.3024 0.0000
-1.8321 -2.6512 5.4160
Ho Pd
3 1
direct
0.7045 0.1210 0.4091 Ho
0.5000 0.4165 0.0000 Ho
0.2955 0.7120 0.5909 Ho
0.0000 0.9172 0.0000 Pd
```

Calculated values
As for the formation energy: -0.42 eV/atom.